Here is a relaxed Pr8Ir3CBr4 crystal from Alexandria. Energies are from PBE-GGA.

Computed properties:
Energy   -6.02 eV/atom
Density   7.33 Mg/m³
N(E_F)   0.5731 states/eV/atom
Formation energy from raw total energies   -0.973 eV per atom

POSCAR file:
```
Pr8Ir3CBr4
1.0
-5.246 -5.824 2.632
2.592 1.559 8.618
-2.829 6.479 -4.288
Br Pr C Ir
4 8 1 3
Cartesian
-2.623 -2.912 1.316
-4.037 0.327 -0.828
-1.414 3.240 -2.144
0.000 0.000 0.000
-4.864 2.989 3.738
-3.353 -0.152 5.968
-4.857 -0.431 2.354
-2.129 2.366 0.993
-2.110 6.046 2.357
-0.626 2.645 4.608
-0.618 -0.775 3.223
-3.372 -3.832 4.605
1.296 0.780 4.309
-0.118 4.019 2.165
-1.327 -2.133 5.625
-2.741 1.107 3.481
```